1.
The following is a DFT calculation (GGA-PBE) of Cr5Tc4 after structural relaxation.

a = 2.962 Å, b = 6.478 Å, c = 6.478 Å
α = 93.00°, β = 103.22°, γ = 76.78°
Fractional coordinates of all 9 atoms:
Cr 0.334 0.331 0.000
Cr 0.000 0.000 0.000
Cr 0.666 0.000 0.331
Cr 0.334 0.000 0.669
Cr 0.666 0.669 0.000
Tc 0.322 0.678 0.322
Tc 0.678 0.322 0.678
Tc 0.000 0.678 0.678
Tc 0.000 0.322 0.322

Output
- Density: 9.190 g/cm3
- Energy: -9.85 eV/atom
- Energy of formation: 9.93 kJ per mole of atoms
- D(E_F): 11.2 states/eV per cell


2.
The following is a DFT calculation (GGA-PBE) of Rb2AlGa after structural relaxation.

a = 6.081 Å, b = 6.081 Å, c = 6.081 Å
α = 60.00°, β = 60.00°, γ = 60.00°
Fractional coordinates of all 4 atoms:
Ga 0.500 0.500 0.500
Al 0.000 0.000 0.000
Rb 0.750 0.750 0.750
Rb 0.250 0.250 0.250

Output
- Offset from the most stable computed form: 269 meV per atom
- Density: 2.795 g/cm3
- Energy: -1.68 eV/atom
- Energy of formation: 47.47 kJ per mole of atoms
- D(E_F): 4.1 states/eV per cell


3.
The following is a DFT calculation (GGA-PBE) of KSn2Hg after structural relaxation.

a = 4.356 Å, b = 6.649 Å, c = 19.025 Å
α = 90.02°, β = 76.76°, γ = 90.00°
Fractional coordinates of all 16 atoms:
Sn 0.751 0.960 0.749
Sn 0.173 0.711 0.827
Sn 0.251 0.540 0.249
Sn 0.673 0.789 0.327
Sn 0.327 0.211 0.673
Sn 0.827 0.289 0.173
Sn 0.749 0.460 0.751
Sn 0.249 0.040 0.251
Hg 0.051 0.796 0.449
Hg 0.450 0.296 0.051
Hg 0.550 0.704 0.949
Hg 0.949 0.204 0.551
K 0.598 0.292 0.402
K 0.098 0.208 0.902
K 0.402 0.708 0.598
K 0.902 0.792 0.098

Output
- Density: 5.908 g/cm3
- Energy: -2.50 eV/atom
- Energy of formation: -14.49 kJ per mole of atoms
- D(E_F): 5.3 states/eV per cell


4.
The following is a DFT calculation (GGA-PBE) of CaCrMo2 after structural relaxation.

a = 4.184 Å, b = 2.932 Å, c = 6.436 Å
α = 78.85°, β = 90.00°, γ = 90.00°
Fractional coordinates of all 4 atoms:
Mo 0.500 0.275 0.166
Mo 0.000 0.987 0.990
Cr 0.500 0.718 0.837
Ca 0.000 0.519 0.508

Output
- Offset from the most stable computed form: 28 meV per atom
- Density: 6.088 g/cm3
- Energy: -7.73 eV/atom
- Energy of formation: 57.16 kJ per mole of atoms
- D(E_F): 4.2 states/eV per cell


5.
The following is a DFT calculation (GGA-PBE) of Cs3Na3CdBr8 after structural relaxation.

a = 8.951 Å, b = 8.964 Å, c = 9.751 Å
α = 117.40°, β = 90.00°, γ = 119.95°
Fractional coordinates of all 15 atoms:
Na 0.500 0.500 0.500
Na 0.000 0.500 0.500
Na 0.500 0.000 0.500
Br 0.248 0.030 0.313
Br 0.782 0.030 0.313
Br 0.783 0.566 0.313
Br 0.733 0.466 0.699
Br 0.267 0.534 0.301
Br 0.752 0.970 0.687
Br 0.217 0.434 0.687
Br 0.218 0.970 0.687
Cs 0.000 0.000 0.000
Cs 0.500 0.500 0.000
Cs 0.000 0.500 0.000
Cd 0.000 0.000 0.500

Output
- Density: 3.525 g/cm3
- Energy: -2.87 eV/atom
- Raw formation energy: -1.48 eV/atom
- D(E_F): 0.0 states/eV per cell


6.
The following is a DFT calculation (GGA-PBE) of TaSbSeI2 after structural relaxation.

a = 5.543 Å, b = 5.543 Å, c = 5.487 Å
α = 90.00°, β = 90.00°, γ = 90.00°
Site moments in Bohr magnetons follow the coordinates.
Fractional coordinates of all 5 atoms:
Se 0.000 0.000 0.000  -0.02
Ta 0.500 0.500 0.500  2.02
I 0.500 0.000 0.000  -0.07
I 0.000 0.500 0.000  -0.07
Sb 0.000 0.000 0.500  -0.18

Output
- Offset from the most stable computed form: 892 meV per atom
- Density: 6.259 g/cm3
- Energy: -3.11 eV/atom
- Raw formation energy: 1.40 eV/atom
- D(E_F): 8.1 states/eV per cell


What did the first record say?
The following is a DFT calculation (GGA-PBE) of Cr5Tc4 after structural relaxation.

a = 2.962 Å, b = 6.478 Å, c = 6.478 Å
α = 93.00°, β = 103.22°, γ = 76.78°
Fractional coordinates of all 9 atoms:
Cr 0.334 0.331 0.000
Cr 0.000 0.000 0.000
Cr 0.666 0.000 0.331
Cr 0.334 0.000 0.669
Cr 0.666 0.669 0.000
Tc 0.322 0.678 0.322
Tc 0.678 0.322 0.678
Tc 0.000 0.678 0.678
Tc 0.000 0.322 0.322

Output
- Density: 9.190 g/cm3
- Energy: -9.85 eV/atom
- Energy of formation: 9.93 kJ per mole of atoms
- D(E_F): 11.2 states/eV per cell


- Which of these has the highest D(E_F)?
  Cr5Tc4